(1)
Here is a geometry-optimized PdCN structure from Alexandria. Energies are from GGA-PBE.

Cell: 2.9010 2.4465 8.1901 Å, 90.00 90.00 90.00°
With the nearest neighbours (Å) after each atom.
Space group Amm2 (No. 38)
Symmetry-distinct sites (fractional):
Pd  0.0000  0.0000  0.0000 x2  2 C 2.14, 2 N 2.31
C  0.5000  0.0000  0.1922 x2  2 N 1.42
N  0.5000  0.0000  0.7806 x2  2 C 1.42

## Properties
Final energy   -7.06 eV/atom
Magnetic moment   0.00 Bohr magnetons per cell
Excess energy over the best structure of this formula in the dataset   95 meV per atom
ρ   7.57 g cm⁻³
Formation energy without anion corrections   524.4 meV/atom

(2)
Here is a geometry-optimized ThScInPd structure from Alexandria. Energies are from GGA-PBE.

Cell: 7.2737 7.2737 7.2737 Å, 90.00 90.00 90.00°
With the nearest neighbours (Å) after each atom.
Space group F-43m (No. 216)
Symmetry-distinct sites (fractional):
Th  0.0000  0.0000  0.0000 x4  4 Pd 3.15, 4 In 3.15
Sc  0.0000  0.0000  0.5000 x4  4 In 3.15, 4 Pd 3.15
In  0.2500  0.2500  0.7500 x4  4 Th 3.15, 4 Sc 3.15
Pd  0.2500  0.2500  0.2500 x4  4 Sc 3.15, 4 Th 3.15

## Properties
Final energy   -5.84 eV/atom
Magnetic moment   1.17 Bohr magnetons per cell
Formation enthalpy at 0 K   -0.418 eV per atom
ρ   8.60 g cm⁻³

(3)
Here is a geometry-optimized Ac6Si2AsCl3 structure from Alexandria. Energies are from GGA-PBE.

Cell: 19.4035 4.5417 8.8661 Å, 90.00 101.10 90.00°
With the nearest neighbours (Å) after each atom.
Space group C2/m (No. 12)
Symmetry-distinct sites (fractional):
Ac  0.0058  0.0000  0.2440 x4  1 Si 3.05, 2 As 3.12, 3 Cl 3.23-3.29
Ac  0.1645  0.5000  0.0972 x4  2 Si 3.08, 1 As 3.14, 3 Cl 3.21-3.26
Ac  0.1715  0.5000  0.5725 x4  3 Si 3.10-3.11, 3 Cl 3.26-3.27
Si  0.1659  0.0000  0.3319 x4  6 Ac 3.05-3.11
As  0.0000  0.5000  0.0000 x2  6 Ac 3.12-3.14
Cl  0.0000  0.5000  0.5000 x2  6 Ac 3.23-3.27
Cl  0.1669  0.0000  0.8350 x4  6 Ac 3.21-3.29

## Properties
Final energy   -5.10 eV/atom
Magnetic moment   0.00 Bohr magnetons per cell
ρ   6.93 g cm⁻³
Formation energy without anion corrections   -1288.4 meV/atom

(4)
Here is a geometry-optimized PmGaAu structure from Alexandria. Energies are from GGA-PBE.

Cell: 3.4704 3.4704 10.9609 Å, 90.00 90.00 90.00°
With the nearest neighbours (Å) after each atom.
Space group I4mm (No. 107)
Symmetry-distinct sites (fractional):
Pm  0.0000  0.0000  0.0000 x2  5 Au 3.18-3.47, 5 Ga 3.21-3.41, 4 Pm 3.47
Ga  0.0000  0.0000  0.3110 x2  4 Au 2.82
Au  0.0000  0.0000  0.6839 x2  4 Ga 2.82

## Properties
Final energy   -4.22 eV/atom
Magnetic moment   0.00 Bohr magnetons per cell
Excess energy over the best structure of this formula in the dataset   240 meV per atom
Formation enthalpy at 0 K   -0.536 eV per atom
ρ   10.36 g cm⁻³

(5)
Here is a geometry-optimized MgScSbAu structure from Alexandria. Energies are from GGA-PBE.

Cell: 6.9784 6.9784 6.9784 Å, 90.00 90.00 90.00°
With the nearest neighbours (Å) after each atom.
Space group F-43m (No. 216)
Symmetry-distinct sites (fractional):
Mg  0.0000  0.0000  0.0000 x4  4 Sb 3.02, 4 Au 3.02
Sc  0.0000  0.0000  0.5000 x4  4 Au 3.02, 4 Sb 3.02
Sb  0.2500  0.2500  0.7500 x4  4 Mg 3.02, 4 Sc 3.02
Au  0.2500  0.2500  0.2500 x4  4 Mg 3.02, 4 Sc 3.02

## Properties
Final energy   -4.33 eV/atom
Magnetic moment   0.00 Bohr magnetons per cell
ρ   7.58 g cm⁻³
Formation energy without anion corrections   -499.3 meV/atom

(6)
Here is a geometry-optimized BaIr2Pb structure from Alexandria. Energies are from GGA-PBE.

Cell: 6.8107 7.9166 3.3385 Å, 90.00 90.00 90.00°
With the nearest neighbours (Å) after each atom.
Space group Cmmm (No. 65)
Symmetry-distinct sites (fractional):
Ba  0.0000  0.0000  0.0000 x2  8 Ir 3.10, 2 Ba 3.34, 2 Pb 3.41
Ir  0.2500  0.2500  0.5000 x4  4 Ba 3.10, 4 Pb 3.10, 4 Ir 3.34-3.41
Pb  0.0000  0.5000  0.0000 x2  8 Ir 3.10, 2 Pb 3.34, 2 Ba 3.41

## Properties
Final energy   -5.26 eV/atom
Magnetic moment   0.00 Bohr magnetons per cell
Excess energy over the best structure of this formula in the dataset   718 meV per atom
Formation enthalpy at 0 K   0.575 eV per atom
ρ   13.45 g cm⁻³

Please write out number 6 again, unchanged.
Here is a geometry-optimized BaIr2Pb structure from Alexandria. Energies are from GGA-PBE.

Cell: 6.8107 7.9166 3.3385 Å, 90.00 90.00 90.00°
With the nearest neighbours (Å) after each atom.
Space group Cmmm (No. 65)
Symmetry-distinct sites (fractional):
Ba  0.0000  0.0000  0.0000 x2  8 Ir 3.10, 2 Ba 3.34, 2 Pb 3.41
Ir  0.2500  0.2500  0.5000 x4  4 Ba 3.10, 4 Pb 3.10, 4 Ir 3.34-3.41
Pb  0.0000  0.5000  0.0000 x2  8 Ir 3.10, 2 Pb 3.34, 2 Ba 3.41

## Properties
Final energy   -5.26 eV/atom
Magnetic moment   0.00 Bohr magnetons per cell
Excess energy over the best structure of this formula in the dataset   718 meV per atom
Formation enthalpy at 0 K   0.575 eV per atom
ρ   13.45 g cm⁻³

Q: Among the records above, which one has the lowest ρ?
A: Ac6Si2AsCl3

Q: Look up the ρ of the third one.
A: 6.93 g cm⁻³